VASP calculation (PBE) on Rb2AlReI6 after structural relaxation.

Lattice parameters (Å, degrees): 8.2757 8.2757 8.2745 60.00 60.00 90.00
Last column: magnetic moment on the atom in μB.
Sites, in units of the cell vectors:
I  0.2366  0.2366  0.5269  0.02
I  0.7634  0.7634  0.4731  0.02
I  0.2365  0.2365  0.0000  0.02
I  0.7635  0.7635  0.0000  0.02
I  0.7635  0.2365  0.0000  0.02
I  0.2365  0.7635  0.0000  0.02
Re  0.0000  0.0000  0.0000  1.53
Al  0.5000  0.5000  0.0000  -0.01
Rb  0.7500  0.2500  0.5000  0.00
Rb  0.2500  0.7500  0.5000  0.00

The calculation puts the density of states at the Fermi level at 5.9 states/eV/cell. As for the volume: 40.07 A^3/atom. As for the space-group type: Fm-3m, No. 225. The value obtained for the uncorrected formation energy is -44 kJ per mole of atoms.